# 1
DFT (meta-GGA SCAN) results for a crystal of MnCd3C relaxed with PBEsol.

Unit cell a=5.065 b=5.065 c=5.065 alpha=90.00 beta=90.00 gamma=90.00
Each line ends with the local moment (μB).
Sites, in units of the cell vectors:
Mn (0.000, 0.000, 0.000)  3.92
Cd (0.000, 0.500, 0.000)  0.00
Cd (0.000, 0.000, 0.500)  0.00
Cd (0.500, 0.000, 0.000)  0.00
C (0.500, 0.500, 0.500)  1.00

## Properties
The space-group type is No. 221.

---

# 2
DFT (meta-GGA SCAN) results for a crystal of CdCN2O relaxed with PBEsol.

Unit cell a=4.151 b=4.188 c=4.188 alpha=90.00 beta=90.00 gamma=90.00
Each line ends with the local moment (μB).
Sites, in units of the cell vectors:
O (0.500, 0.000, 0.000)  0.75
Cd (0.000, 0.000, 0.000)  0.12
N (0.000, 0.500, 0.000)  1.35
N (0.000, 0.000, 0.500)  1.35
C (0.500, 0.500, 0.500)  -0.80

## Properties
The uncorrected formation energy is 2.960 eV/atom. The space-group type is No. 123.

---

# 3
DFT (meta-GGA SCAN) results for a crystal of CdC2N4O4 relaxed with PBEsol.

Unit cell a=6.127 b=8.261 c=10.067 alpha=90.00 beta=90.00 gamma=90.00
Sites, in units of the cell vectors:
N (0.216, 0.370, 0.324)
N (0.354, 0.514, 0.859)
N (0.646, 0.514, 0.141)
N (0.854, 0.486, 0.641)
N (0.146, 0.486, 0.359)
N (0.284, 0.630, 0.824)
N (0.784, 0.370, 0.676)
N (0.716, 0.630, 0.176)
O (0.197, 0.771, 0.136)
O (0.303, 0.229, 0.636)
O (0.472, 0.062, 0.794)
O (0.697, 0.229, 0.364)
O (0.028, 0.938, 0.294)
O (0.803, 0.771, 0.864)
O (0.972, 0.938, 0.706)
O (0.528, 0.062, 0.206)
C (0.387, 0.145, 0.715)
C (0.113, 0.855, 0.215)
C (0.613, 0.145, 0.285)
C (0.887, 0.855, 0.785)
Cd (0.500, 0.799, 0.500)
Cd (0.000, 0.201, 0.000)

## Properties
The uncorrected formation energy is -0.609 eV/atom. The space-group type is No. 18.

---

# 4
DFT (meta-GGA SCAN) results for a crystal of RbCdC3S3N3 relaxed with PBEsol.

Unit cell a=5.707 b=12.660 c=13.137 alpha=90.00 beta=90.00 gamma=93.04
Sites, in units of the cell vectors:
S (0.769, 0.079, 0.655)
S (0.269, 0.579, 0.845)
S (0.753, 0.531, 0.676)
S (0.864, 0.344, 0.865)
S (0.731, 0.421, 0.155)
S (0.636, 0.156, 0.365)
S (0.136, 0.656, 0.135)
S (0.253, 0.031, 0.824)
S (0.747, 0.969, 0.176)
S (0.231, 0.921, 0.345)
S (0.364, 0.844, 0.635)
S (0.247, 0.469, 0.324)
N (0.583, 0.325, 0.500)
N (0.707, 0.599, 0.943)
N (0.417, 0.675, 0.500)
N (0.207, 0.099, 0.557)
N (0.793, 0.901, 0.443)
N (0.823, 0.540, 0.402)
N (0.917, 0.175, 0.000)
N (0.323, 0.040, 0.098)
N (0.293, 0.401, 0.057)
N (0.083, 0.825, 0.000)
N (0.177, 0.460, 0.598)
N (0.677, 0.960, 0.902)
C (0.394, 0.746, 0.557)
C (0.998, 0.491, 0.629)
C (0.519, 0.590, 0.904)
C (0.481, 0.410, 0.096)
C (0.894, 0.246, 0.943)
C (0.502, 0.009, 0.129)
C (0.002, 0.509, 0.371)
C (0.106, 0.754, 0.057)
C (0.606, 0.254, 0.443)
C (0.019, 0.090, 0.596)
C (0.981, 0.910, 0.404)
C (0.498, 0.991, 0.871)
Rb (0.117, 0.214, 0.211)
Rb (0.383, 0.286, 0.711)
Rb (0.617, 0.714, 0.289)
Rb (0.883, 0.786, 0.789)
Cd (0.000, 0.500, 0.000)
Cd (0.500, 0.000, 0.500)
Cd (0.000, 0.000, 0.000)
Cd (0.500, 0.500, 0.500)

## Properties
The uncorrected formation energy is -0.168 eV/atom. The space-group type is No. 14.

---

# 5
DFT (meta-GGA SCAN) results for a crystal of CdCS2N relaxed with PBEsol.

Unit cell a=4.082 b=4.959 c=4.959 alpha=90.00 beta=90.00 gamma=90.00
Each line ends with the local moment (μB).
Sites, in units of the cell vectors:
Cd (0.000, 0.000, 0.000)  0.02
S (0.000, 0.500, 0.000)  -0.42
S (0.000, 0.000, 0.500)  -0.42
C (0.500, 0.500, 0.500)  0.73
N (0.500, 0.000, 0.000)  1.31

## Properties
The uncorrected formation energy is 2.548 eV/atom. The space-group type is No. 123.

---

# 6
DFT (meta-GGA SCAN) results for a crystal of CdCSe2N relaxed with PBEsol.

Unit cell a=2.512 b=6.002 c=6.002 alpha=90.00 beta=90.00 gamma=90.00
Sites, in units of the cell vectors:
Cd (0.500, 0.500, 0.500)
C (0.000, 0.000, 0.000)
Se (0.000, 0.000, 0.500)
Se (0.000, 0.500, 0.000)
N (0.500, 0.000, 0.000)

## Properties
The uncorrected formation energy is 0.594 eV/atom. The space-group type is No. 123.

---

How do the records compare in total moment? In the order shown, they have 1.27 0.64 0.00 0.00 0.41 0.00 μB/atom.
How do the records compare in VASP energy? In the order shown, they have -110.7 -50.5 -238.8 -560.3 -56.3 -87.0 eV per cell.